Entry 1:
CsKRuCl6: relaxed, PBE.

Cell lengths 7.4775, 7.4775, 7.0010 Å; angles 90.00, 90.00, 120.00 degrees
Space group P312 (No. 149)
Inequivalent atoms, fractional coordinates:
Cs (0.0000, 0.0000, 0.0000)
K (0.3333, 0.6667, 0.5000)
Ru (0.6667, 0.3333, 0.5000)
Cl (0.4115, 0.0760, 0.6961)

Properties
raw total energy: -32.83 eV for the cell shown
uncorrected formation energy: -1.169 eV per atom
N(E_F): 0.887 states/eV/atom

=====

Entry 2:
H4S3I2: relaxed, PBE.

Cell lengths 17.600, 15.132, 4.363 Å; angles 90.00, 103.90, 90.00 degrees
Space group C2/c (No. 15)
Inequivalent atoms, fractional coordinates:
H (0.189, 0.227, 0.153)
H (0.243, 0.435, 0.269)
S (0.000, 0.477, 0.250)
S (0.187, 0.021, 0.664)
I (0.127, 0.304, 0.192)

Properties
raw total energy: -111.74 eV for the cell shown
N(E_F): 0.320 states/eV/atom

=====

Entry 3:
K2RbBeSn: relaxed, PBE.

Cell lengths 6.830, 6.830, 7.136 Å; angles 90.00, 90.00, 90.00 degrees
Space group P4/mmm (No. 123)
Inequivalent atoms, fractional coordinates:
K (0.000, 0.500, 0.000)
Rb (0.000, 0.000, 0.500)
Be (0.500, 0.500, 0.500)
Sn (0.000, 0.000, 0.000)

Properties
raw total energy: -7.38 eV for the cell shown
N(E_F): 0.420 states/eV/atom
calculated formation energy: 0.7020 eV/atom

=====

Entry 4:
Tc2RuCl: relaxed, PBE.

Cell lengths 2.842, 4.886, 8.754 Å; angles 90.00, 90.00, 90.00 degrees
Space group Cmm2 (No. 35)
Inequivalent atoms, fractional coordinates:
Tc (0.000, 0.000, 0.000)
Tc (0.000, 0.500, 0.251)
Ru (0.000, 0.000, 0.500)
Cl (0.000, 0.500, 0.755)

Properties
raw total energy: -59.02 eV for the cell shown
uncorrected formation energy: 0.586 eV per atom
energy above the most stable polymorph in this dataset: 304 meV per atom
N(E_F): 1.317 states/eV/atom

=====

Entry 5:
MgInHg2: relaxed, PBE.

Cell lengths 9.216, 3.550, 6.051 Å; angles 90.00, 103.15, 90.00 degrees
Space group C2/m (No. 12)
Inequivalent atoms, fractional coordinates:
Mg (0.000, 0.000, 0.000)
In (0.000, 0.500, 0.500)
Hg (0.243, 0.500, 0.232)

Properties
raw total energy: -10.60 eV for the cell shown
N(E_F): 0.376 states/eV/atom
calculated formation energy: -0.0904 eV/atom

=====

Entry 6:
SrTaNb2Ag: relaxed, PBE.

Cell lengths 4.841, 4.841, 4.925 Å; angles 90.00, 90.00, 90.00 degrees
Space group P4/mmm (No. 123)
Inequivalent atoms, fractional coordinates:
Sr (0.000, 0.000, 0.000)
Ta (0.000, 0.000, 0.500)
Nb (0.000, 0.500, 0.000)
Ag (0.500, 0.500, 0.500)

Properties
raw total energy: -23.23 eV for the cell shown
N(E_F): 1.245 states/eV/atom
calculated formation energy: 2.6599 eV/atom

=====

Entry 7:
CoHgOs: relaxed, PBE.

Cell lengths 2.787, 2.787, 11.768 Å; angles 90.00, 90.00, 90.00 degrees
Space group I4mm (No. 107)
Inequivalent atoms, fractional coordinates:
Co (0.000, 0.000, 0.000)
Hg (0.000, 0.000, 0.323)
Os (0.000, 0.000, 0.627)

Properties
raw total energy: -34.29 eV for the cell shown
energy above the most stable polymorph in this dataset: 0 meV per atom
N(E_F): 0.998 states/eV/atom
calculated formation energy: 0.4969 eV/atom

=====

Entry 8:
Ba2TlPb: relaxed, PBE.

Cell lengths 5.0864, 5.0864, 27.0638 Å; angles 90.00, 90.00, 120.00 degrees
Space group R3m (No. 160, hexagonal axes)
Inequivalent atoms, fractional coordinates:
Ba (0.0000, 0.0000, 0.0000)
Ba (0.0000, 0.0000, 0.1764)
Tl (0.0000, 0.0000, 0.4457)
Pb (0.0000, 0.0000, 0.7356)

Properties
raw total energy: -33.67 eV for the cell shown
N(E_F): 0.771 states/eV/atom
calculated formation energy: -0.3254 eV/atom

=====

Entry 9:
ZrBiAs: relaxed, PBE.

Cell lengths 4.199, 4.199, 8.308 Å; angles 90.00, 90.00, 90.00 degrees
Space group P4/nmm (No. 129, origin choice 2)
Inequivalent atoms, fractional coordinates:
Zr (0.250, 0.250, 0.196)
Bi (0.250, 0.750, 0.500)
As (0.250, 0.250, 0.866)

Properties
raw total energy: -36.05 eV for the cell shown
N(E_F): 0.473 states/eV/atom
calculated formation energy: -0.3161 eV/atom

=====

Entry 10:
PmTm2S5: relaxed, PBE.

Cell lengths 7.263, 7.263, 12.519 Å; angles 90.00, 90.00, 90.00 degrees
Space group I4/mcm (No. 140)
Inequivalent atoms, fractional coordinates:
Pm (0.000, 0.000, 0.250)
Tm (0.157, 0.343, 0.000)
S (0.000, 0.000, 0.000)
S (0.154, 0.346, 0.356)

Properties
raw total energy: -193.62 eV for the cell shown
uncorrected formation energy: -1.759 eV per atom
N(E_F): 0.744 states/eV/atom

=====

Entry 11:
Sr2CrSi: relaxed, PBE.

Cell lengths 8.751, 8.751, 6.823 Å; angles 90.00, 90.00, 90.00 degrees
Space group I-42d (No. 122)
Inequivalent atoms, fractional coordinates:
Sr (0.220, 0.250, 0.125)
Cr (0.000, 0.000, 0.500)
Si (0.000, 0.000, 0.000)

Properties
raw total energy: -64.05 eV for the cell shown
uncorrected formation energy: 0.599 eV per atom
N(E_F): 0.880 states/eV/atom

=====

Entry 12:
Zn2FeTc: relaxed, PBE.

Cell lengths 2.6915, 2.6915, 26.3624 Å; angles 90.00, 90.00, 120.00 degrees
Space group R3m (No. 160, hexagonal axes)
Inequivalent atoms, fractional coordinates:
Zn (0.0000, 0.0000, 0.0000)
Zn (0.0000, 0.0000, 0.1726)
Fe (0.0000, 0.0000, 0.5863)
Tc (0.0000, 0.0000, 0.4198)

Properties
raw total energy: -62.63 eV for the cell shown
energy above the most stable polymorph in this dataset: 118 meV per atom
N(E_F): 0.993 states/eV/atom
calculated formation energy: 0.1246 eV/atom

=====

Q: What is the raw total energy in the twelfth record?
A: -62.63 eV for the cell shown